12
Lattice="-1.1495 3.6752 -3.4312 3.1849 -3.8412 -1.3050 -5.2905 -3.6577 -2.1453" Properties=species:S:1:pos:R:3 comment="AcFe2AsO8, optimized geometry, DFT PBE with a Hubbard U" m_tot_mub_per_fu=8.000 energy_ev_per_atom=-6.44 vol_a3_per_atom=13.0 pbc="T T T"
Fe -1.3522 0.0307 -3.3905
Ac 0.0000 0.0000 0.0000
Fe -1.9030 -3.8545 -3.4910
O 0.5692 -2.4367 -4.4559
As -2.6453 -1.8289 -1.0727
O 0.0206 0.9798 -2.8338
O -1.1827 -1.3010 -2.0718
O -3.2757 -4.8036 -4.0477
O -2.0724 -2.5227 -4.8097
O -3.7511 0.1362 -5.2036
O 0.4959 -3.9600 -1.6779
O -3.8244 -1.3871 -2.4256